Record 1
The following is a DFT calculation (PBE) of an optimized crystal structure of SrCd2RhO6.

Cell: 5.7366 5.8837 10.0341 Å, 90.00 124.28 90.00°
Positions (direct):
Sr  0.0000  0.0000  0.0000
Sr  0.0000  0.5000  0.5000
Cd  0.2201  0.0309  0.7314
Cd  0.2201  0.4691  0.2314
Cd  0.7799  0.5309  0.7686
Cd  0.7799  0.9691  0.2686
Rh  0.5000  0.0000  0.5000
Rh  0.5000  0.5000  0.0000
O  0.1705  0.1091  0.2839
O  0.1705  0.3909  0.7839
O  0.2390  0.6459  0.0369
O  0.2390  0.8541  0.5369
O  0.4593  0.2250  0.0945
O  0.4593  0.2750  0.5945
O  0.5407  0.7250  0.4055
O  0.5407  0.7750  0.9055
O  0.7610  0.1459  0.4631
O  0.7610  0.3541  0.9631
O  0.8295  0.6091  0.2161
O  0.8295  0.8909  0.7161

Values from the calculation:
M_tot ... 2.8 μB per formula unit
Symmetry ... No. 14
Total DFT energy (no corrections) ... -103.7 eV per cell
E_form (uncorrected) ... -1.1257 eV per atom
Density of states at the Fermi level ... 0.52 states/eV per atom



Record 2
The following is a DFT calculation (PBE) of an optimized crystal structure of VTeRu3.

Cell: 4.7609 4.7609 4.7609 Å, 90.00 90.00 90.00°
Positions (direct):
V  0.0000  0.0000  0.0000
Te  0.5000  0.5000  0.5000
Ru  0.0000  0.5000  0.5000
Ru  0.5000  0.0000  0.5000
Ru  0.5000  0.5000  0.0000

Values from the calculation:
M_tot ... 1.0 μB per formula unit
Symmetry ... No. 221
Total DFT energy (no corrections) ... -32.1 eV per cell
E_form (uncorrected) ... 1.5949 eV per atom
Density of states at the Fermi level ... 1.81 states/eV per atom
Relative energy among the computed polymorphs ... 530.7 meV/atom



Record 3
The following is a DFT calculation (PBE) of an optimized crystal structure of Ta2V4Mo.

Cell: 7.2575 7.2575 7.2575 Å, 144.35 144.35 51.30°
Positions (direct):
Ta  0.1231  0.1231  0.0000
Ta  0.8769  0.8769  0.0000
V  0.0000  0.5000  0.5000
V  0.3126  0.3126  0.0000
V  0.5000  0.0000  0.5000
V  0.6874  0.6874  0.0000
Mo  0.5000  0.5000  0.0000

Values from the calculation:
M_tot ... 0.0 μB per formula unit
DFT formation energy ... 1.174 eV/atom
Symmetry ... No. 139
Total DFT energy (no corrections) ... -62.8 eV per cell
Density of states at the Fermi level ... 1.28 states/eV per atom
Relative energy among the computed polymorphs ... 1186.8 meV/atom



Record 4
The following is a DFT calculation (PBE) of an optimized crystal structure of Ac4AlHg2.

Cell: 9.6418 9.6418 9.6418 Å, 34.12 34.12 34.12°
Positions (direct):
Ac  0.1229  0.1229  0.1229
Ac  0.3747  0.3747  0.3747
Ac  0.6253  0.6253  0.6253
Ac  0.8771  0.8771  0.8771
Al  0.5000  0.5000  0.5000
Hg  0.2495  0.2495  0.2495
Hg  0.7505  0.7505  0.7505

Values from the calculation:
M_tot ... 0.0 μB per formula unit
DFT formation energy ... -0.248 eV/atom
Symmetry ... No. 166
Total DFT energy (no corrections) ... -22.5 eV per cell
Density of states at the Fermi level ... 1.34 states/eV per atom